(1)
The following is a DFT calculation (PBE) of a relaxed Cs2KCd12Au3 crystal.

Unit cell a=10.421 b=10.421 c=10.421 alpha=55.48 beta=55.48 gamma=55.48
Fractional positions:
Cs 0.104 0.104 0.104
Cs 0.896 0.896 0.896
K 0.500 0.500 0.500
Cd 0.020 0.340 0.340
Cd 0.176 0.176 0.654
Cd 0.176 0.654 0.176
Cd 0.340 0.020 0.340
Cd 0.340 0.340 0.020
Cd 0.346 0.824 0.824
Cd 0.654 0.176 0.176
Cd 0.660 0.660 0.980
Cd 0.660 0.980 0.660
Cd 0.824 0.346 0.824
Cd 0.824 0.824 0.346
Cd 0.980 0.660 0.660
Au 0.000 0.500 0.500
Au 0.500 0.000 0.500
Au 0.500 0.500 0.000

## Properties
The value obtained for the formation energy from the elements is 25 meV per atom. The value obtained for the total energy is -23.164 eV/f.u. The space-group type is R-3m, No. 166. The spin magnetization is 0.0 μB per formula unit. As for the crystal system: trigonal.

=====

(2)
The following is a DFT calculation (PBE) of a relaxed YCr2Rh crystal.

Unit cell a=5.243 b=5.243 c=2.818 alpha=99.50 beta=99.50 gamma=120.29
Fractional positions:
Y 0.000 0.000 0.000
Cr 0.000 0.500 0.500
Cr 0.500 0.000 0.500
Rh 0.500 0.500 0.000

## Properties
The value obtained for the formation energy from the elements is 464 meV per atom. The value obtained for the total energy is -31.206 eV/f.u. The space-group type is C2/m, No. 12. The spin magnetization is 0.6 μB per formula unit. As for the crystal system: monoclinic.

=====

(3)
The following is a DFT calculation (PBE) of a relaxed SiB3Sb crystal.

Unit cell a=4.456 b=4.456 c=4.456 alpha=90.00 beta=90.00 gamma=90.00
Fractional positions:
Si 0.000 0.000 0.000
B 0.000 0.500 0.500
B 0.500 0.000 0.500
B 0.500 0.500 0.000
Sb 0.500 0.500 0.500

## Properties
The value obtained for the total energy is -17.900 eV/f.u. The space-group type is Pm-3m, No. 221. The spin magnetization is 0.0 μB per formula unit. As for the raw formation energy: 11.68 eV per formula unit. As for the crystal system: cubic.

=====

(4)
The following is a DFT calculation (PBE) of a relaxed LiBH2OF4 crystal.

Unit cell a=10.264 b=13.517 c=5.148 alpha=90.00 beta=90.00 gamma=90.00
Fractional positions:
Li 0.135 0.250 0.250
Li 0.250 0.000 0.036
Li 0.250 0.500 0.464
Li 0.365 0.750 0.250
Li 0.635 0.250 0.750
Li 0.750 0.000 0.964
Li 0.750 0.500 0.536
Li 0.865 0.750 0.750
B 0.128 0.625 0.981
B 0.128 0.875 0.519
B 0.372 0.125 0.519
B 0.372 0.375 0.981
B 0.628 0.625 0.019
B 0.628 0.875 0.481
B 0.872 0.125 0.481
B 0.872 0.375 0.019
H 0.032 0.100 0.049
H 0.032 0.400 0.451
H 0.116 0.144 0.828
H 0.116 0.356 0.672
H 0.384 0.644 0.672
H 0.384 0.856 0.828
H 0.468 0.600 0.451
H 0.468 0.900 0.049
H 0.532 0.100 0.951
H 0.532 0.400 0.549
H 0.616 0.144 0.172
H 0.616 0.356 0.328
H 0.884 0.644 0.328
H 0.884 0.856 0.172
H 0.968 0.600 0.549
H 0.968 0.900 0.951
O 0.120 0.123 0.009
O 0.120 0.377 0.491
O 0.380 0.623 0.491
O 0.380 0.877 0.009
O 0.620 0.123 0.991
O 0.620 0.377 0.509
O 0.880 0.623 0.509
O 0.880 0.877 0.991
F 0.013 0.683 0.994
F 0.013 0.817 0.506
F 0.128 0.557 0.189
F 0.128 0.943 0.311
F 0.129 0.573 0.740
F 0.129 0.927 0.760
F 0.239 0.687 0.995
F 0.239 0.813 0.505
F 0.261 0.187 0.505
F 0.261 0.313 0.995
F 0.371 0.073 0.760
F 0.371 0.427 0.740
F 0.372 0.057 0.311
F 0.372 0.443 0.189
F 0.487 0.183 0.506
F 0.487 0.317 0.994
F 0.513 0.683 0.006
F 0.513 0.817 0.494
F 0.628 0.557 0.811
F 0.628 0.943 0.689
F 0.629 0.573 0.260
F 0.629 0.927 0.240
F 0.739 0.687 0.005
F 0.739 0.813 0.495
F 0.761 0.187 0.495
F 0.761 0.313 0.005
F 0.871 0.073 0.240
F 0.871 0.427 0.260
F 0.872 0.057 0.689
F 0.872 0.443 0.811
F 0.987 0.183 0.494
F 0.987 0.317 0.006

## Properties
The value obtained for the total energy is -48.684 eV/f.u. The space-group type is Pnna, No. 52. The spin magnetization is 0.1 μB per formula unit. As for the crystal system: orthorhombic.

=====

(5)
The following is a DFT calculation (PBE) of a relaxed HoZrIn2 crystal.

Unit cell a=3.277 b=3.277 c=8.907 alpha=90.00 beta=90.00 gamma=90.00
Fractional positions:
Ho 0.000 0.000 0.000
Zr 0.000 0.000 0.500
In 0.500 0.500 0.260
In 0.500 0.500 0.740

## Properties
The value obtained for the formation energy from the elements is -355 meV per atom. The value obtained for the total energy is -20.024 eV/f.u. The space-group type is P4/mmm, No. 123. The spin magnetization is 0.3 μB per formula unit. As for the crystal system: tetragonal.

=====

(6)
The following is a DFT calculation (PBE) of a relaxed ReSiBr2 crystal.

Unit cell a=4.544 b=4.544 c=7.874 alpha=106.50 beta=106.50 gamma=41.87
Fractional positions:
Re 0.000 0.000 0.000
Si 0.712 0.712 0.000
Br 0.398 0.398 0.723
Br 0.554 0.554 0.277

## Properties
The value obtained for the total energy is -20.609 eV/f.u. The space-group type is Cm, No. 8. The spin magnetization is 0.0 μB per formula unit. As for the raw formation energy: 0.61 eV per formula unit. As for the crystal system: monoclinic.

=====

(7)
The following is a DFT calculation (PBE) of a relaxed In2ReSi crystal.

Unit cell a=4.082 b=5.439 c=5.439 alpha=39.42 beta=90.00 gamma=90.00
Fractional positions:
In 0.000 0.000 0.000
In 0.500 0.321 0.321
Re 0.500 0.600 0.600
Si 0.000 0.724 0.724

## Properties
The value obtained for the total energy is -22.297 eV/f.u. The space-group type is Amm2, No. 38. The spin magnetization is 0.0 μB per formula unit. As for the raw formation energy: 1.05 eV per formula unit. As for the crystal system: orthorhombic.

=====

(8)
The following is a DFT calculation (PBE) of a relaxed Zn2HgTe crystal.

Unit cell a=5.060 b=5.060 c=4.208 alpha=105.93 beta=105.93 gamma=92.82
Fractional positions:
Zn 0.000 0.500 0.000
Zn 0.500 0.000 0.000
Hg 0.000 0.000 0.500
Te 0.500 0.500 0.500

## Properties
The value obtained for the total energy is -5.619 eV/f.u. The space-group type is C2/m, No. 12. The spin magnetization is 0.0 μB per formula unit. As for the raw formation energy: 0.37 eV per formula unit. As for the crystal system: monoclinic.

=====

- The highest spin magnetization belongs to which entry?
  YCr2Rh